Entry from Alexandria via LeMat-Bulk: an optimized crystal structure of Ce2Tc5Ge4 (GGA-PBE).

Computed properties:
* VASP energy: -84.68 eV/f.u.
* DOS at the Fermi energy: 0.914 states/eV per atom
* energy relative to the elements: -228 meV per atom

a = 5.404 Å, b = 8.154 Å, c = 9.094 Å
α = 90.00°, β = 90.00°, γ = 90.00°
Space group Immm (No. 71)
Asymmetric unit:
1 Ce 0.000 0.221 0.000 x4
2 Tc 0.000 0.500 0.500 x2
3 Tc 0.242 0.500 0.214 x8
4 Ge 0.000 0.251 0.341 x8